# 1
DFT (GGA-PBE) results for Mg3HgAu after structural relaxation.

```
Mg3HgAu
1.0
-2.9680 -1.7501 -2.5404
0.3918 -2.5119 4.8796
-6.3144 7.2049 2.4138
Mg Hg Au
6 2 2
direct
0.1081 0.2161 0.4060
0.8919 0.7839 0.5940
0.4574 0.9148 0.1419
0.5426 0.0852 0.8581
0.2293 0.4585 0.7471
0.7707 0.5415 0.2529
0.8500 0.7001 0.9300
0.1500 0.2999 0.0700
0.6127 0.2253 0.6048
0.3873 0.7747 0.3952
```

Calculated values
Polymorph energy (0 for the lowest one) = 0.000 eV/atom
Uncorrected energy = -0.1463 Ry per atom
SG = No. 12
E_form = -0.3185 eV/atom

# 2
DFT (GGA-PBE) results for MgHg2Au after structural relaxation.

```
MgHg2Au
1.0
3.3694 0.0009 0.0000
-0.0014 3.3694 0.0000
0.0000 0.0000 7.3435
Au Hg Mg
1 2 1
direct
0.5000 0.5000 0.7500
0.0000 0.0000 0.9996
0.0000 0.0000 0.5004
0.5000 0.5000 0.2500
```

Calculated values
Uncorrected energy = -0.1063 Ry per atom
SG = No. 123
E_form = -0.0779 eV/atom

# 3
DFT (GGA-PBE) results for MgHg2Au8 after structural relaxation.

```
MgHg2Au8
1.0
-0.1135 -1.2469 -3.8400
3.1233 -5.9218 1.8306
-7.4835 -0.6406 2.5534
Mg Hg Au
1 2 8
direct
0.5000 0.0000 0.0000
0.2204 0.6411 0.4408
0.7796 0.3589 0.5592
0.5846 0.4404 0.1692
0.3221 0.0763 0.6443
0.1324 0.1832 0.2648
0.0459 0.7401 0.0918
0.8676 0.8168 0.7352
0.6779 0.9237 0.3557
0.4154 0.5596 0.8308
0.9541 0.2599 0.9082
```

Calculated values
Polymorph energy (0 for the lowest one) = 0.000 eV/atom
Uncorrected energy = -0.1981 Ry per atom
SG = No. 12
E_form = -0.1115 eV/atom

# 4
DFT (GGA-PBE) results for Mg2HgAu3 after structural relaxation.

```
Mg2HgAu3
1.0
3.4105 0.0000 0.0000
0.0000 3.4105 0.0000
0.0000 0.0000 9.6914
Mg Hg Au
2 1 3
direct
0.5000 0.5000 0.8370
0.5000 0.5000 0.1630
0.5000 0.5000 0.5000
0.0000 0.0000 0.0000
0.0000 0.0000 0.6888
0.0000 0.0000 0.3112
```

Calculated values
Polymorph energy (0 for the lowest one) = 0.000 eV/atom
Uncorrected energy = -0.1923 Ry per atom
SG = No. 123
E_form = -0.3963 eV/atom

# 5
DFT (GGA-PBE) results for MgHgAu2 after structural relaxation.

```
MgHgAu2
1.0
7.7171 0.0000 0.0000
0.0000 7.7171 0.0000
3.8585 3.8585 2.8238
Mg Au Hg
2 4 2
direct
0.5000 0.5000 0.0000
0.2500 0.7500 0.5000
0.6095 0.1250 0.2500
0.1405 0.6250 0.2500
0.3750 0.3905 0.7500
0.8750 0.8595 0.7500
0.0000 0.0000 0.0000
0.7500 0.2500 0.5000
```

Calculated values
Uncorrected energy = -0.1653 Ry per atom
SG = No. 122
E_form = -0.1361 eV/atom

# 6
DFT (GGA-PBE) results for MgHgAu after structural relaxation.

```
MgHgAu
1.0
5.2070 -0.0002 -0.0321
2.7236 4.4379 0.0321
-3.9482 -2.2494 2.5428
Mg Au Hg
1 1 1
direct
0.6581 0.6581 0.0000
0.0096 0.0096 0.0000
0.3322 0.3322 0.0000
```

Calculated values
Polymorph energy (0 for the lowest one) = 0.000 eV/atom
Uncorrected energy = -0.1510 Ry per atom
SG = No. 107
E_form = -0.3305 eV/atom

# 7
DFT (GGA-PBE) results for Mg4HgAu7 after structural relaxation.

```
Mg4HgAu7
1.0
5.1913 0.0000 0.0000
2.5956 8.7995 -0.1125
2.5956 0.2001 5.3652
Mg Hg Au
4 1 7
direct
0.5957 0.2233 0.5852
0.4043 0.7767 0.4148
0.7742 0.6528 0.7989
0.2258 0.3472 0.2011
0.0000 0.0000 0.0000
0.7870 0.9092 0.5168
0.2130 0.0908 0.4832
0.0663 0.6645 0.2028
0.9337 0.3355 0.7972
0.3635 0.5214 0.7516
0.5000 0.0000 0.0000
0.6365 0.4786 0.2484
```

Calculated values
Uncorrected energy = -0.2052 Ry per atom
SG = No. 12
E_form = -0.3240 eV/atom

# 8
DFT (GGA-PBE) results for Mg2HgAu9 after structural relaxation.

```
Mg2HgAu9
1.0
4.1736 0.0000 0.0000
0.0000 4.1736 0.0000
0.0000 0.0000 12.5528
Mg Hg Au
2 1 9
direct
0.0000 0.0000 0.3349
0.0000 0.0000 0.6651
0.0000 0.0000 0.0000
0.5000 0.5000 0.0000
0.5000 0.5000 0.3375
0.5000 0.5000 0.6625
0.5000 0.0000 0.1752
0.5000 0.0000 0.5000
0.5000 0.0000 0.8248
0.0000 0.5000 0.1752
0.0000 0.5000 0.5000
0.0000 0.5000 0.8248
```

Calculated values
Uncorrected energy = -0.2200 Ry per atom
SG = No. 123
E_form = -0.2444 eV/atom

# 9
DFT (GGA-PBE) results for Mg3HgAu12 after structural relaxation.

```
Mg3HgAu12
1.0
-1.0596 0.1314 -4.0543
-4.0070 -0.6866 1.0250
-2.4845 16.2551 1.1760
Mg Hg Au
3 1 12
direct
0.0000 0.0000 0.2533
0.0000 0.0000 0.5000
0.0000 0.0000 0.7467
0.0000 0.0000 0.0000
0.5000 0.5000 0.0000
0.5000 0.5000 0.2544
0.5000 0.5000 0.5000
0.5000 0.5000 0.7456
0.5000 0.0000 0.1324
0.5000 0.0000 0.3772
0.5000 0.0000 0.6228
0.5000 0.0000 0.8676
0.0000 0.5000 0.1324
0.0000 0.5000 0.3772
0.0000 0.5000 0.6228
0.0000 0.5000 0.8676
```

Calculated values
Uncorrected energy = -0.2244 Ry per atom
SG = No. 123
E_form = -0.2779 eV/atom

# 10
DFT (GGA-PBE) results for Mg2HgAu after structural relaxation.

```
Mg2HgAu
1.0
-4.1611 2.6518 1.8199
-5.2411 -0.2988 0.3170
-0.7217 -1.9146 4.2774
Mg Au Hg
2 1 1
direct
0.9967 0.9967 0.0371
0.7606 0.7606 0.6975
0.4932 0.4932 0.5531
0.2496 0.2496 0.2123
```

Calculated values
Uncorrected energy = -0.1496 Ry per atom
SG = No. 8
E_form = -0.3437 eV/atom

# 11
DFT (GGA-PBE) results for Mg4Hg5Au2 after structural relaxation.

```
Mg4Hg5Au2
1.0
3.2623 0.0000 0.0000
0.0000 7.5263 -0.8584
0.0000 0.3338 9.5728
Mg Hg Au
4 5 2
direct
0.5000 0.7807 0.5723
0.5000 0.2041 0.8624
0.5000 0.2193 0.4277
0.5000 0.7959 0.1376
0.0000 0.5222 0.3330
0.0000 0.1502 0.1324
0.0000 0.5000 0.0000
0.0000 0.8498 0.8676
0.0000 0.4778 0.6670
0.0000 0.0878 0.6393
0.0000 0.9122 0.3607
```

Calculated values
Uncorrected energy = -0.1167 Ry per atom
SG = No. 10
E_form = -0.2752 eV/atom

# 12
DFT (GGA-PBE) results for MgHg2Au after structural relaxation.

```
MgHg2Au
1.0
-1.4980 -5.3302 5.7439
7.6740 0.1851 2.1732
2.5053 -0.3917 5.8304
Mg Au Hg
2 2 4
direct
0.5000 0.5000 0.0000
0.2500 0.7500 0.5000
0.0000 0.0000 0.0000
0.7500 0.2500 0.5000
0.6294 0.1250 0.2500
0.1206 0.6250 0.2500
0.3750 0.3706 0.7500
0.8750 0.8794 0.7500
```

Calculated values
Uncorrected energy = -0.1039 Ry per atom
SG = No. 122
E_form = -0.0453 eV/atom